No. 1
VASP calculation (PBE) on crystalline K3Y2ScSe6 at its relaxed geometry.

Values from the calculation:
E, eV per cell: -128.13
Total magnetization, μB per formula unit: 0.00
Density of states at the Fermi level, states/eV/f.u.: 0.0

```
data_K3Y2ScSe6
_chemical_formula_sum 'K6 Y4 Sc2 Se12'
_cell_length_a 7.189
_cell_length_b 12.452
_cell_length_c 8.032
_cell_angle_alpha 90.00
_cell_angle_beta 107.38
_cell_angle_gamma 90.00
_symmetry_space_group_name_H-M 'C 1 2/m 1'
_symmetry_Int_Tables_number 12
loop_
_symmetry_equiv_pos_as_xyz
'x,y,z'
'-x,-y,-z'
'-x,y,-z'
'x,-y,z'
'x+1/2,y+1/2,z'
'-x+1/2,-y+1/2,-z'
'-x+1/2,y+1/2,-z'
'x+1/2,-y+1/2,z'
loop_
_atom_site_label
_atom_site_fract_x
_atom_site_fract_y
_atom_site_fract_z
_atom_site_occupancy
K1 0.000 0.000 0.000 1
K2 0.000 0.331 0.000 1
Y1 0.000 0.166 0.500 1
Sc1 0.000 0.500 0.500 1
Se1 0.228 0.339 0.702 1
Se2 0.246 0.000 0.702 1
```

---

No. 2
VASP calculation (PBE) on crystalline K4Y3ScSe8 at its relaxed geometry.

Values from the calculation:
E, eV per cell: -256.97
Total magnetization, μB per formula unit: 0.00
Density of states at the Fermi level, states/eV/f.u.: 0.0

```
data_K4Y3ScSe8
_chemical_formula_sum 'K12 Y9 Sc3 Se24'
_cell_length_a 8.3358
_cell_length_b 8.3358
_cell_length_c 23.0061
_cell_angle_alpha 90.00
_cell_angle_beta 90.00
_cell_angle_gamma 120.00
_symmetry_space_group_name_H-M 'R -3 m'
_symmetry_Int_Tables_number 166
_symmetry_space_group_name_Hall '-R 3 2"'
loop_
_atom_site_label
_atom_site_fract_x
_atom_site_fract_y
_atom_site_fract_z
_atom_site_occupancy
K1 0.0000 0.0000 0.0000 1
K2 0.0000 0.5000 0.0000 1
Y1 0.0000 0.5000 0.5000 1
Sc1 0.0000 0.0000 0.5000 1
Se1 0.0000 0.0000 0.2357 1
Se2 0.0108 0.5054 0.2338 1
```

---

No. 3
VASP calculation (PBE) on crystalline KYScSe2 at its relaxed geometry.

Values from the calculation:
E, eV per cell: -22.56
Total magnetization, μB per formula unit: 0.00
Density of states at the Fermi level, states/eV/f.u.: 4.2

```
data_KYScSe2
_chemical_formula_sum 'K1 Y1 Sc1 Se2'
_cell_length_a 5.591
_cell_length_b 5.591
_cell_length_c 5.520
_cell_angle_alpha 90.00
_cell_angle_beta 90.00
_cell_angle_gamma 90.00
_symmetry_space_group_name_H-M 'P 4/m m m'
_symmetry_Int_Tables_number 123
_symmetry_space_group_name_Hall '-P 4 2'
loop_
_atom_site_label
_atom_site_fract_x
_atom_site_fract_y
_atom_site_fract_z
_atom_site_occupancy
K1 0.000 0.000 0.000 1
Y1 0.500 0.500 0.500 1
Sc1 0.500 0.500 0.000 1
Se1 0.000 0.500 0.500 1
```

---

No. 4
VASP calculation (PBE) on crystalline K3Y3ScSe8 at its relaxed geometry.

Values from the calculation:
E, eV per cell: -245.08
Total magnetization, μB per formula unit: 0.00
Density of states at the Fermi level, states/eV/f.u.: 8.3

```
data_K3Y3ScSe8
_chemical_formula_sum 'K9 Y9 Sc3 Se24'
_cell_length_a 8.2043
_cell_length_b 8.2043
_cell_length_c 23.6661
_cell_angle_alpha 90.00
_cell_angle_beta 90.00
_cell_angle_gamma 120.00
_symmetry_space_group_name_H-M 'R -3 m'
_symmetry_Int_Tables_number 166
_symmetry_space_group_name_Hall '-R 3 2"'
loop_
_atom_site_label
_atom_site_fract_x
_atom_site_fract_y
_atom_site_fract_z
_atom_site_occupancy
K1 0.0000 0.5000 0.0000 1
Y1 0.0000 0.5000 0.5000 1
Sc1 0.0000 0.0000 0.5000 1
Se1 0.0000 0.0000 0.2356 1
Se2 0.0122 0.5061 0.2326 1
```

---

No. 5
VASP calculation (PBE) on crystalline K4ZrSc3Se8 at its relaxed geometry.

Values from the calculation:
E, eV per cell: -253.55
Total magnetization, μB per formula unit: 0.00
Density of states at the Fermi level, states/eV/f.u.: 4.7

```
data_K4ZrSc3Se8
_chemical_formula_sum 'K12 Zr3 Sc9 Se24'
_cell_length_a 7.9792
_cell_length_b 7.9792
_cell_length_c 22.9681
_cell_angle_alpha 90.00
_cell_angle_beta 90.00
_cell_angle_gamma 120.00
_symmetry_space_group_name_H-M 'R -3 m'
_symmetry_Int_Tables_number 166
_symmetry_space_group_name_Hall '-R 3 2"'
loop_
_atom_site_label
_atom_site_fract_x
_atom_site_fract_y
_atom_site_fract_z
_atom_site_occupancy
K1 0.0000 0.0000 0.0000 1
K2 0.0000 0.5000 0.0000 1
Zr1 0.0000 0.0000 0.5000 1
Sc1 0.0000 0.5000 0.5000 1
Se1 0.0000 0.0000 0.2320 1
Se2 0.0004 0.5002 0.2329 1
```

---

No. 6
VASP calculation (PBE) on crystalline K2Zr2ScSe6 at its relaxed geometry.

Values from the calculation:
E, eV per cell: -125.58
Total magnetization, μB per formula unit: 0.00
Density of states at the Fermi level, states/eV/f.u.: 3.6

```
data_K2Zr2ScSe6
_chemical_formula_sum 'K4 Zr4 Sc2 Se12'
_cell_length_a 6.707
_cell_length_b 11.621
_cell_length_c 8.261
_cell_angle_alpha 90.00
_cell_angle_beta 105.79
_cell_angle_gamma 90.00
_symmetry_space_group_name_H-M 'C 1 2/m 1'
_symmetry_Int_Tables_number 12
loop_
_symmetry_equiv_pos_as_xyz
'x,y,z'
'-x,-y,-z'
'-x,y,-z'
'x,-y,z'
'x+1/2,y+1/2,z'
'-x+1/2,-y+1/2,-z'
'-x+1/2,y+1/2,-z'
'x+1/2,-y+1/2,z'
loop_
_atom_site_label
_atom_site_fract_x
_atom_site_fract_y
_atom_site_fract_z
_atom_site_occupancy
K1 0.000 0.167 0.000 1
Zr1 0.000 0.333 0.500 1
Sc1 0.000 0.000 0.500 1
Se1 0.231 0.500 0.698 1
Se2 0.234 0.166 0.699 1
```

---

No. 7
VASP calculation (PBE) on crystalline K3ZrSc3Se8 at its relaxed geometry.

Values from the calculation:
E, eV per cell: -247.37
Total magnetization, μB per formula unit: 0.00

```
data_K3ZrSc3Se8
_chemical_formula_sum 'K9 Zr3 Sc9 Se24'
_cell_length_a 7.8864
_cell_length_b 7.8864
_cell_length_c 23.3447
_cell_angle_alpha 90.00
_cell_angle_beta 90.00
_cell_angle_gamma 120.00
_symmetry_space_group_name_H-M 'R -3 m'
_symmetry_Int_Tables_number 166
_symmetry_space_group_name_Hall '-R 3 2"'
loop_
_atom_site_label
_atom_site_fract_x
_atom_site_fract_y
_atom_site_fract_z
_atom_site_occupancy
K1 0.0000 0.5000 0.0000 1
Zr1 0.0000 0.0000 0.5000 1
Sc1 0.0000 0.5000 0.5000 1
Se1 0.0000 0.0000 0.2315 1
Se2 0.9999 0.5000 0.2317 1
```

---

No. 8
VASP calculation (PBE) on crystalline K4Zr3ScSe8 at its relaxed geometry.

Values from the calculation:
E, eV per cell: -173.41
Total magnetization, μB per formula unit: 0.00
Density of states at the Fermi level, states/eV/f.u.: 6.9

```
data_K4Zr3ScSe8
_chemical_formula_sum 'K8 Zr6 Sc2 Se16'
_cell_length_a 13.626
_cell_length_b 7.874
_cell_length_c 8.998
_cell_angle_alpha 90.00
_cell_angle_beta 120.27
_cell_angle_gamma 90.00
_symmetry_space_group_name_H-M 'C 1 2/m 1'
_symmetry_Int_Tables_number 12
loop_
_symmetry_equiv_pos_as_xyz
'x,y,z'
'-x,-y,-z'
'-x,y,-z'
'x,-y,z'
'x+1/2,y+1/2,z'
'-x+1/2,-y+1/2,-z'
'-x+1/2,y+1/2,-z'
'x+1/2,-y+1/2,z'
loop_
_atom_site_label
_atom_site_fract_x
_atom_site_fract_y
_atom_site_fract_z
_atom_site_occupancy
K1 0.000 0.000 0.000 1
K2 0.000 0.500 0.000 1
K3 0.250 0.250 0.000 1
Zr1 0.000 0.000 0.500 1
Zr2 0.250 0.250 0.500 1
Sc1 0.000 0.500 0.500 1
Se1 0.016 0.251 0.298 1
Se2 0.233 0.500 0.702 1
Se3 0.235 0.000 0.705 1
```

---

No. 9
VASP calculation (PBE) on crystalline K3Zr3ScSe8 at its relaxed geometry.

Values from the calculation:
E, eV per cell: -254.38
Total magnetization, μB per formula unit: 0.00
Density of states at the Fermi level, states/eV/f.u.: 5.9

```
data_K3Zr3ScSe8
_chemical_formula_sum 'K9 Zr9 Sc3 Se24'
_cell_length_a 7.7650
_cell_length_b 7.7650
_cell_length_c 23.7561
_cell_angle_alpha 90.00
_cell_angle_beta 90.00
_cell_angle_gamma 120.00
_symmetry_space_group_name_H-M 'R -3 m'
_symmetry_Int_Tables_number 166
_symmetry_space_group_name_Hall '-R 3 2"'
loop_
_atom_site_label
_atom_site_fract_x
_atom_site_fract_y
_atom_site_fract_z
_atom_site_occupancy
K1 0.0000 0.5000 0.0000 1
Zr1 0.0000 0.5000 0.5000 1
Sc1 0.0000 0.0000 0.5000 1
Se1 0.0000 0.0000 0.2344 1
Se2 0.0017 0.5009 0.7671 1
```

---

No. 10
VASP calculation (PBE) on crystalline KSc2Si at its relaxed geometry.

Values from the calculation:
E, eV per cell: -37.45
Total magnetization, μB per formula unit: 0.00
Density of states at the Fermi level, states/eV/f.u.: 5.0

```
data_KSc2Si
_chemical_formula_sum 'K2 Sc4 Si2'
_cell_length_a 3.207
_cell_length_b 5.923
_cell_length_c 11.755
_cell_angle_alpha 90.00
_cell_angle_beta 90.00
_cell_angle_gamma 90.00
_symmetry_space_group_name_H-M 'I m m m'
_symmetry_Int_Tables_number 71
_symmetry_space_group_name_Hall '-I 2 2'
loop_
_atom_site_label
_atom_site_fract_x
_atom_site_fract_y
_atom_site_fract_z
_atom_site_occupancy
K1 0.000 0.000 0.000 1
Sc1 0.000 0.500 0.184 1
Si1 0.000 0.000 0.500 1
```

---

no.,uncorrected formation energy (eV/atom)
1,-1.72
2,-1.73
3,-0.34
4,-1.65
5,-1.54
6,-1.48
7,-1.58
8,-1.40
9,-1.44
10,0.11